VASP calculation (PBE) on Rb2GeCl7 after structural relaxation.

## Properties
- Magnetization: 1.0 μB/f.u.
- Energy relative to the elements, uncorrected: -1.033 eV/atom

Cell: 8.033 8.033 7.276 Å, 56.49 56.49 90.00°
Sites, in units of the cell vectors:
Rb 0.250 0.750 0.500
Cl 0.210 0.790 0.000
Cl 0.244 0.244 0.511
Cl 0.790 0.790 0.000
Cl 0.756 0.756 0.489
Rb 0.750 0.250 0.500
Cl 0.210 0.210 0.000
Ge 0.000 0.000 0.000
Cl 0.790 0.210 0.000
Cl 0.500 0.500 0.000

---

VASP calculation (PBE) on DySb2Pd4 after structural relaxation.

## Properties
- Magnetization: 0.0 μB/f.u.
- Energy relative to the elements, uncorrected: -0.682 eV/atom

Cell: 4.362 7.911 7.911 Å, 90.00 90.00 90.00°
Sites, in units of the cell vectors:
Sb 0.500 0.716 0.716
Pd 0.500 0.148 0.598
Pd 0.500 0.852 0.402
Pd 0.500 0.598 0.148
Pd 0.000 0.648 0.902
Sb 0.000 0.784 0.216
Pd 0.000 0.098 0.352
Sb 0.500 0.284 0.284
Dy 0.500 0.000 0.000
Sb 0.000 0.216 0.784
Pd 0.000 0.352 0.098
Dy 0.000 0.500 0.500
Pd 0.500 0.402 0.852
Pd 0.000 0.902 0.648

---

VASP calculation (PBE) on Tm4MgTe2 after structural relaxation.

## Properties
- Magnetization: 0.0 μB/f.u.
- Energy relative to the elements, uncorrected: -0.516 eV/atom

Cell: 8.587 8.587 7.821 Å, 108.75 108.74 114.52°
Sites, in units of the cell vectors:
Tm 0.746 0.084 0.718
Tm 0.366 0.028 0.282
Tm 0.916 0.253 0.282
Tm 0.972 0.634 0.718
Te 0.625 0.375 0.750
Te 0.125 0.375 0.750
Tm 0.279 0.116 0.782
Tm 0.884 0.722 0.218
Te 0.625 0.875 0.250
Tm 0.334 0.496 0.218
Mg 0.250 0.750 0.500
Mg 0.000 0.000 0.000
Te 0.625 0.375 0.250
Tm 0.504 0.666 0.782

---

VASP calculation (PBE) on Na2CeSi4 after structural relaxation.

## Properties
- Magnetization: 0.8 μB/f.u.
- Energy relative to the elements, uncorrected: -0.186 eV/atom

Cell: 3.883 3.883 13.256 Å, 81.58 81.58 60.00°
Sites, in units of the cell vectors:
Si 0.737 0.737 0.788
Si 0.616 0.616 0.152
Na 0.874 0.874 0.378
Si 0.384 0.384 0.848
Si 0.263 0.263 0.212
Na 0.126 0.126 0.622
Ce 0.000 0.000 0.000

---

VASP calculation (PBE) on HfUNb after structural relaxation.

## Properties
- ΔE_f: 0.90 eV per formula unit
- Magnetization: 0.0 μB/f.u.
- Energy above the most stable polymorph in this dataset: 78 meV/atom

Cell: 3.318 3.318 12.228 Å, 97.80 97.80 90.00°
Sites, in units of the cell vectors:
Nb 0.643 0.643 0.287
U 0.218 0.218 0.437
Hf 0.069 0.069 0.137
Hf 0.931 0.931 0.863
U 0.782 0.782 0.563
Nb 0.357 0.357 0.713

---

VASP calculation (PBE) on HfTiNi2 after structural relaxation.

## Properties
- ΔE_f: 1.76 eV per formula unit
- Magnetization: 0.0 μB/f.u.
- Energy above the most stable polymorph in this dataset: 897 meV/atom

Cell: 5.539 5.539 5.539 Å, 59.50 150.92 129.32°
Sites, in units of the cell vectors:
Ti 0.000 0.000 0.000
Ni 0.000 0.239 0.239
Hf 0.000 0.500 0.500
Ni 0.000 0.761 0.761

---

VASP calculation (PBE) on TcGeTe2 after structural relaxation.

## Properties
- Magnetization: 0.0 μB/f.u.
- Energy relative to the elements, uncorrected: 0.415 eV/atom

Cell: 6.357 6.357 7.498 Å, 64.92 64.92 90.00°
Sites, in units of the cell vectors:
Tc 0.000 0.000 0.000
Ge 0.250 0.750 0.500
Te 0.375 0.338 0.750
Ge 0.500 0.500 0.000
Tc 0.750 0.250 0.500
Te 0.088 0.625 0.250
Te 0.875 0.912 0.750
Te 0.662 0.125 0.250

---

VASP calculation (PBE) on KAsO3 after structural relaxation.

## Properties
- Magnetization: 0.0 μB/f.u.
- Energy relative to the elements, uncorrected: -1.513 eV/atom

Cell: 5.028 11.516 11.878 Å, 90.00 90.00 90.00°
Sites, in units of the cell vectors:
O 0.605 0.184 0.541
O 0.749 0.626 0.401
O 0.395 0.684 0.959
As 0.777 0.229 0.413
K 0.750 0.000 0.110
K 0.250 0.500 0.812
O 0.251 0.126 0.099
K 0.750 0.500 0.188
K 0.750 0.500 0.610
As 0.277 0.229 0.587
O 0.251 0.374 0.599
As 0.777 0.271 0.913
As 0.277 0.271 0.087
O 0.709 0.362 0.808
K 0.250 0.000 0.890
O 0.105 0.184 0.459
O 0.749 0.874 0.901
O 0.291 0.862 0.692
O 0.751 0.126 0.901
O 0.895 0.816 0.541
O 0.791 0.862 0.308
O 0.249 0.626 0.599
O 0.209 0.138 0.692
O 0.895 0.684 0.041
O 0.395 0.816 0.459
O 0.709 0.138 0.308
As 0.723 0.729 0.913
K 0.750 0.000 0.688
As 0.723 0.771 0.413
O 0.791 0.638 0.808
As 0.223 0.771 0.587
K 0.250 0.500 0.390
O 0.209 0.362 0.192
O 0.751 0.374 0.401
O 0.249 0.874 0.099
As 0.223 0.729 0.087
O 0.605 0.316 0.041
O 0.105 0.316 0.959
K 0.250 0.000 0.312
O 0.291 0.638 0.192

---

VASP calculation (PBE) on KBaTe2 after structural relaxation.

## Properties
- Magnetization: 0.0 μB/f.u.
- Energy relative to the elements, uncorrected: -1.067 eV/atom

Cell: 9.276 9.276 7.568 Å, 52.21 52.21 90.00°
Sites, in units of the cell vectors:
Ba 0.750 0.250 0.500
K 0.250 0.750 0.500
Te 0.623 0.125 0.250
Ba 0.000 0.000 0.000
Te 0.875 0.873 0.750
Te 0.127 0.625 0.250
K 0.500 0.500 0.000
Te 0.375 0.377 0.750

---

VASP calculation (PBE) on AgIr3Pd after structural relaxation.

## Properties
- ΔE_f: 10.51 eV per formula unit
- Magnetization: 3.5 μB/f.u.
- Energy above the most stable polymorph in this dataset: 0 meV/atom

Cell: 4.766 4.766 4.766 Å, 90.00 90.00 90.00°
Sites, in units of the cell vectors:
Ir 0.000 0.500 0.000
Ir 0.000 0.000 0.500
Pd 0.000 0.000 0.000
Ag 0.500 0.500 0.500
Ir 0.500 0.000 0.000

---

VASP calculation (PBE) on SrMg2Ir after structural relaxation.

## Properties
- ΔE_f: 0.29 eV per formula unit
- Magnetization: 0.0 μB/f.u.

Cell: 4.747 4.364 4.364 Å, 90.00 90.00 90.00°
Sites, in units of the cell vectors:
Ir 0.500 0.000 0.500
Mg 0.000 0.000 0.000
Sr 0.500 0.500 0.000
Mg 0.000 0.500 0.500

---

VASP calculation (PBE) on NpSc3 after structural relaxation.

## Properties
- ΔE_f: 1.36 eV per formula unit
- Magnetization: 5.6 μB/f.u.
- Energy above the most stable polymorph in this dataset: 120 meV/atom

Cell: 4.579 4.579 5.661 Å, 113.86 113.86 90.00°
Sites, in units of the cell vectors:
Sc 0.250 0.750 0.500
Sc 0.500 0.500 0.000
Np 0.000 0.000 0.000
Sc 0.750 0.250 0.500

---

VASP calculation (PBE) on MgBAsBr2 after structural relaxation.

## Properties
- Magnetization: 1.6 μB/f.u.
- Energy above the most stable polymorph in this dataset: 331 meV/atom
- Energy relative to the elements, uncorrected: 0.796 eV/atom

Cell: 5.202 5.202 5.305 Å, 90.00 90.00 90.00°
Sites, in units of the cell vectors:
B 0.500 0.500 0.500
As 0.000 0.000 0.500
Br 0.000 0.500 0.000
Br 0.500 0.000 0.000
Mg 0.000 0.000 0.000

---

VASP calculation (PBE) on Cd3Pt2 after structural relaxation.

## Properties
- ΔE_f: -1.50 eV per formula unit
- Magnetization: 0.0 μB/f.u.
- Energy above the most stable polymorph in this dataset: 0 meV/atom

Cell: 4.398 5.284 5.284 Å, 67.61 65.41 65.41°
Sites, in units of the cell vectors:
Pt 0.500 0.724 0.276
Cd 0.805 0.695 0.695
Cd 0.195 0.305 0.305
Cd 0.000 0.000 0.000
Pt 0.500 0.276 0.724

---

VASP calculation (PBE) on Ca3AcPb2S after structural relaxation.

## Properties
- Magnetization: 0.0 μB/f.u.
- Energy relative to the elements, uncorrected: -0.810 eV/atom

Cell: 5.685 5.267 9.246 Å, 106.55 107.91 90.00°
Sites, in units of the cell vectors:
Ca 0.823 0.823 0.646
Ac 0.500 0.000 0.000
Pb 0.633 0.633 0.267
Ca 0.000 0.500 0.000
Ca 0.177 0.177 0.354
Pb 0.367 0.367 0.733
S 0.000 0.000 0.000

---

VASP calculation (PBE) on BaZnGe2S6 after structural relaxation.

## Properties
- Magnetization: 0.0 μB/f.u.
- Energy relative to the elements, uncorrected: -0.693 eV/atom

Cell: 6.868 9.255 9.255 Å, 92.44 75.80 75.80°
Sites, in units of the cell vectors:
Ge 0.679 0.228 0.372
Ba 0.250 0.875 0.125
Ba 0.750 0.125 0.875
S 0.568 0.151 0.595
S 0.541 0.580 0.699
S 0.459 0.420 0.301
Ge 0.321 0.772 0.628
S 0.225 0.970 0.799
Ge 0.179 0.372 0.228
S 0.959 0.301 0.420
Ge 0.821 0.628 0.772
S 0.041 0.699 0.580
S 0.725 0.799 0.970
S 0.775 0.030 0.201
Zn 0.750 0.758 0.242
S 0.275 0.201 0.030
S 0.068 0.595 0.151
S 0.932 0.405 0.849
Zn 0.250 0.242 0.758
S 0.432 0.849 0.405

---

VASP calculation (PBE) on BaTe2P after structural relaxation.

## Properties
- Magnetization: 0.0 μB/f.u.
- Energy relative to the elements, uncorrected: -0.688 eV/atom

Cell: 6.547 6.547 4.898 Å, 85.17 85.17 42.33°
Sites, in units of the cell vectors:
Te 0.252 0.252 0.783
Te 0.954 0.954 0.095
Ba 0.544 0.544 0.579
P 0.750 0.750 0.043

---

VASP calculation (PBE) on ZrInMo2Cl after structural relaxation.

## Properties
- Magnetization: 6.2 μB/f.u.
- Energy relative to the elements, uncorrected: 1.996 eV/atom

Cell: 5.365 6.129 5.365 Å, 90.00 90.00 90.00°
Sites, in units of the cell vectors:
Zr 0.000 0.500 0.000
Mo 0.500 0.000 0.000
Mo 0.000 0.000 0.500
Cl 0.500 0.500 0.500
In 0.000 0.000 0.000

---

VASP calculation (PBE) on Cs2CaGaF after structural relaxation.

## Properties
- Magnetization: 0.0 μB/f.u.
- Energy relative to the elements, uncorrected: -0.884 eV/atom

Cell: 6.503 4.572 6.503 Å, 90.00 90.00 90.00°
Sites, in units of the cell vectors:
Ga 0.500 0.500 0.500
F 0.000 0.000 0.000
Cs 0.500 0.000 0.000
Cs 0.000 0.000 0.500
Ca 0.000 0.500 0.000

---

VASP calculation (PBE) on CaAlAg2 after structural relaxation.

## Properties
- ΔE_f: -0.57 eV per formula unit
- Magnetization: 0.0 μB/f.u.

Cell: 3.266 3.659 6.966 Å, 90.00 90.00 90.07°
Sites, in units of the cell vectors:
Ag 0.000 0.000 0.459
Ca 0.500 0.500 0.750
Al 0.500 0.500 0.250
Ag 0.000 0.000 0.041